Compound: Pr3Ho13
Source: Alexandria via LeMat-Bulk
Functional: PBE
Structure: optimized geometry

Lattice parameters (Å, degrees): 7.2760 8.4598 8.4598 95.89 90.00 90.00
With the nearest neighbours (Å) after each atom.
Fractional positions:
Ho  0.7487  0.4622  0.0446  10 Ho 3.48-3.66, 2 Pr 3.57
Ho  0.0000  0.7892  0.2108  10 Ho 3.49-3.64, 2 Pr 3.64
Ho  0.2503  0.5429  0.4571  11 Ho 3.49-3.64, 1 Pr 3.63
Ho  0.2513  0.9554  0.5378  10 Ho 3.48-3.66, 2 Pr 3.57
Ho  0.7487  0.9554  0.5378  10 Ho 3.48-3.66, 2 Pr 3.57
Ho  0.5000  0.7893  0.2107  10 Ho 3.48-3.64, 2 Pr 3.62
Ho  0.0000  0.2103  0.2929  3 Pr 3.50-3.54, 9 Ho 3.52-3.64
Ho  0.7497  0.5429  0.4571  11 Ho 3.49-3.64, 1 Pr 3.63
Ho  0.0000  0.7071  0.7897  3 Pr 3.50-3.54, 9 Ho 3.52-3.64
Ho  0.5000  0.7044  0.7872  10 Ho 3.47-3.64, 2 Pr 3.55
Ho  0.5000  0.2935  0.7065  8 Ho 3.47-3.62, 4 Pr 3.64-3.66
Ho  0.5000  0.2128  0.2956  10 Ho 3.47-3.64, 2 Pr 3.55
Ho  0.2513  0.4622  0.0446  10 Ho 3.48-3.66, 2 Pr 3.57
Pr  0.2523  0.0395  0.9605  9 Ho 3.54-3.66, 3 Pr 3.60-3.68
Pr  0.0000  0.2933  0.7067  10 Ho 3.50-3.64, 2 Pr 3.68
Pr  0.7477  0.0395  0.9605  9 Ho 3.54-3.66, 3 Pr 3.60-3.68

Fermi-level density of states: 28.18 states/eV/f.u.
energy of formation from the pure elements: 0.016 eV per atom
crystal system: orthorhombic
mass density: 8.23 g/cm3
space group: Amm2 (38)
excess energy over the best structure of this formula in the dataset: 0.0 meV/atom

Compound: Pm6Pr3Dy2Y
Source: Alexandria via LeMat-Bulk
Functional: PBE
Structure: optimized geometry

Lattice parameters (Å, degrees): 6.3211 6.3211 12.0701 95.02 95.02 120.01
With the nearest neighbours (Å) after each atom.
Fractional positions:
Dy  0.6666  0.3334  0.0000  6 Pm 3.59-3.60, 3 Dy 3.65, 3 Y 3.65
Dy  0.3334  0.6666  0.0000  6 Pm 3.59-3.60, 3 Dy 3.65, 3 Y 3.65
Y  0.0000  0.0000  0.0000  6 Pm 3.60, 6 Dy 3.65
Pm  0.4164  0.0823  0.2453  2 Dy 3.59-3.60, 1 Y 3.60, 6 Pm 3.64-3.66, 3 Pr 3.68-3.69
Pm  0.2519  0.2519  0.7546  2 Dy 3.60, 1 Y 3.60, 6 Pm 3.64-3.66, 3 Pr 3.69
Pm  0.7481  0.7481  0.2454  2 Dy 3.60, 1 Y 3.60, 6 Pm 3.64-3.66, 3 Pr 3.69
Pm  0.0823  0.4164  0.2453  2 Dy 3.59-3.60, 1 Y 3.60, 6 Pm 3.64-3.66, 3 Pr 3.68-3.69
Pm  0.9177  0.5836  0.7547  2 Dy 3.59-3.60, 1 Y 3.60, 6 Pm 3.64-3.66, 3 Pr 3.68-3.69
Pm  0.5836  0.9177  0.7547  2 Dy 3.59-3.60, 1 Y 3.60, 6 Pm 3.64-3.66, 3 Pr 3.68-3.69
Pr  0.8332  0.1668  0.5000  6 Pr 3.65, 6 Pm 3.68-3.69
Pr  0.1668  0.8332  0.5000  6 Pr 3.65, 6 Pm 3.68-3.69
Pr  0.5000  0.5000  0.5000  6 Pr 3.65, 6 Pm 3.69

Fermi-level density of states: 17.32 states/eV/f.u.
energy of formation from the pure elements: 0.016 eV per atom
crystal system: monoclinic
mass density: 6.89 g/cm3
space group: C2/m (12)

Compound: LiY2ScCo
Source: Alexandria via LeMat-Bulk
Functional: PBE
Structure: optimized geometry

Lattice parameters (Å, degrees): 5.2801 5.2801 4.8316 90.00 90.00 90.00
With the nearest neighbours (Å) after each atom.
Fractional positions:
Y  0.0000  0.5000  0.0000  2 Co 2.64
Y  0.5000  0.0000  0.0000  2 Co 2.64
Li  0.5000  0.5000  0.5000  8 Y 3.58, 4 Sc 3.73
Sc  0.0000  0.0000  0.5000  2 Co 2.42
Co  0.0000  0.0000  0.0000  2 Sc 2.42, 4 Y 2.64

Fermi-level density of states: 3.26 states/eV/f.u.
energy of formation from the pure elements: 0.003 eV per atom
crystal system: tetragonal
mass density: 3.56 g/cm3
space group: P4/mmm (123)

Compound: MnHgRh2N
Source: Alexandria via LeMat-Bulk
Functional: PBE
Structure: optimized geometry

Lattice parameters (Å, degrees): 4.1929 4.1929 3.9608 90.00 90.00 90.00
With the nearest neighbours (Å) after each atom.
Fractional positions:
Hg  0.5000  0.5000  0.5000  8 Rh 2.88, 4 Mn 2.96
Mn  0.0000  0.0000  0.5000  2 N 1.98
Rh  0.0000  0.5000  0.0000  2 N 2.10
Rh  0.5000  0.0000  0.0000  2 N 2.10
N  0.0000  0.0000  0.0000  2 Mn 1.98, 4 Rh 2.10

Fermi-level density of states: 4.40 states/eV/f.u.
crystal system: tetragonal
mass density: 11.34 g/cm3
raw formation energy: 20 meV/atom
space group: P4/mmm (123)

Compound: DyHfCuTc
Source: Alexandria via LeMat-Bulk
Functional: PBE
Structure: optimized geometry

Lattice parameters (Å, degrees): 4.7248 4.7248 4.7248 60.00 60.00 60.00
With the nearest neighbours (Å) after each atom.
Fractional positions:
Dy  0.5000  0.5000  0.5000  4 Tc 2.89, 4 Cu 2.89
Tc  0.2500  0.2500  0.2500  4 Hf 2.89, 4 Dy 2.89
Hf  0.0000  0.0000  0.0000  4 Tc 2.89, 4 Cu 2.89
Cu  0.7500  0.7500  0.7500  4 Hf 2.89, 4 Dy 2.89

Fermi-level density of states: 3.18 states/eV/f.u.
energy of formation from the pure elements: -0.183 eV per atom
crystal system: cubic
mass density: 11.19 g/cm3
space group: F-43m (216)

Compound: OsRu2S
Source: Alexandria via LeMat-Bulk
Functional: PBE
Structure: optimized geometry

Lattice parameters (Å, degrees): 8.4417 2.8503 4.5800 90.00 90.00 90.00
With the nearest neighbours (Å) after each atom.
Fractional positions:
Ru  0.7854  0.0000  0.3977  2 S 2.39
Ru  0.7146  0.5000  0.8977  2 S 2.39
Ru  0.2854  0.5000  0.8977  2 S 2.39
Ru  0.2146  0.0000  0.3977  2 S 2.39
S  0.5000  0.0000  0.0335  2 Os 2.33, 4 Ru 2.39
S  0.0000  0.5000  0.5335  2 Os 2.33, 4 Ru 2.39
Os  0.0000  0.0000  0.9362  2 S 2.33
Os  0.5000  0.5000  0.4362  2 S 2.33

Fermi-level density of states: 3.14 states/eV/f.u.
crystal system: orthorhombic
mass density: 12.79 g/cm3
raw formation energy: 307 meV/atom
space group: Imm2 (44)

Compound: TlCd2In4Hg2
Source: Alexandria via LeMat-Bulk
Functional: PBE
Structure: optimized geometry

Lattice parameters (Å, degrees): 3.6297 8.2517 8.1835 95.72 90.00 102.71
With the nearest neighbours (Å) after each atom.
Fractional positions:
Hg  0.8894  0.7787  0.3215  7 In 3.21-3.57, 2 Cd 3.25, 1 Tl 3.32
Hg  0.1106  0.2213  0.6785  7 In 3.21-3.57, 2 Cd 3.25, 1 Tl 3.32
Cd  0.6709  0.3418  0.9987  2 Cd 3.13, 2 Hg 3.25, 3 In 3.29, 2 Tl 3.30
Cd  0.3291  0.6582  0.0013  2 Cd 3.13, 2 Hg 3.25, 3 In 3.29, 2 Tl 3.30
In  0.2252  0.4505  0.3275  3 Hg 3.21-3.57, 4 In 3.25-3.38, 3 Cd 3.29
In  0.7748  0.5495  0.6725  3 Hg 3.21-3.57, 4 In 3.25-3.38, 3 Cd 3.29
In  0.5594  0.1188  0.3486  5 In 3.25-3.63, 4 Hg 3.27-3.29, 2 Tl 3.43, 1 Cd 3.53
In  0.4406  0.8812  0.6514  5 In 3.25-3.63, 4 Hg 3.27-3.29, 2 Tl 3.43, 1 Cd 3.53
Tl  0.0000  0.0000  0.0000  4 Cd 3.30, 2 Hg 3.32, 4 In 3.43, 2 Tl 3.63

Fermi-level density of states: 3.94 states/eV/f.u.
energy of formation from the pure elements: 0.032 eV per atom
crystal system: monoclinic
mass density: 9.00 g/cm3
space group: C2/m (12)

Compound: Sc2PdPb
Source: Alexandria via LeMat-Bulk
Functional: PBE
Structure: optimized geometry

Lattice parameters (Å, degrees): 4.3504 4.3504 10.3789 77.90 77.90 90.00
With the nearest neighbours (Å) after each atom.
Fractional positions:
Sc  0.3750  0.3765  0.7500  2 Pd 2.91, 2 Pb 2.92, 4 Sc 3.07-3.09
Sc  0.6235  0.1250  0.2500  2 Pd 2.91, 2 Pb 2.92, 4 Sc 3.07-3.09
Sc  0.1265  0.6250  0.2500  2 Pd 2.91, 2 Pb 2.92, 4 Sc 3.07-3.09
Sc  0.8750  0.8735  0.7500  2 Pd 2.91, 2 Pb 2.92, 4 Sc 3.07-3.09
Pd  0.2500  0.7500  0.5000  4 Sc 2.91, 4 Pb 3.08
Pd  0.5000  0.5000  0.0000  4 Sc 2.91, 4 Pb 3.08
Pb  0.7500  0.2500  0.5000  4 Sc 2.92, 4 Pd 3.08
Pb  0.0000  0.0000  0.0000  4 Sc 2.92, 4 Pd 3.08

Fermi-level density of states: 3.80 states/eV/f.u.
energy of formation from the pure elements: -0.051 eV per atom
crystal system: tetragonal
mass density: 7.14 g/cm3
space group: I-42d (122)

Compound: YEr2Sc4
Source: Alexandria via LeMat-Bulk
Functional: PBE
Structure: optimized geometry

Lattice parameters (Å, degrees): 3.3630 11.0503 7.6411 136.31 90.00 90.00
With the nearest neighbours (Å) after each atom.
Fractional positions:
Sc  0.5000  0.5000  0.5000  6 Sc 3.14-3.36, 4 Er 3.29
Sc  0.0000  0.2285  0.0000  6 Sc 3.14-3.36, 2 Er 3.26, 2 Y 3.44
Sc  0.0000  0.7715  0.0000  6 Sc 3.14-3.36, 2 Er 3.26, 2 Y 3.44
Sc  0.5000  0.0000  0.5000  6 Sc 3.14-3.36, 4 Er 3.29
Er  0.0000  0.8054  0.6108  6 Sc 3.26-3.29, 2 Er 3.36, 2 Y 3.64
Er  0.0000  0.1946  0.3892  6 Sc 3.26-3.29, 2 Er 3.36, 2 Y 3.64
Y  0.5000  0.5000  0.0000  2 Y 3.36, 4 Sc 3.44, 4 Er 3.64

Fermi-level density of states: 11.87 states/eV/f.u.
energy of formation from the pure elements: 0.176 eV per atom
crystal system: orthorhombic
mass density: 5.11 g/cm3
space group: Cmmm (65)
excess energy over the best structure of this formula in the dataset: 156.6 meV/atom

Compound: Ti3Mn
Source: Alexandria via LeMat-Bulk
Functional: PBE
Structure: optimized geometry

Lattice parameters (Å, degrees): 3.6528 3.6528 5.2938 110.18 110.18 90.00
With the nearest neighbours (Å) after each atom.
Fractional positions:
Ti  0.5000  0.5000  0.0000  4 Mn 2.58
Ti  0.2500  0.7500  0.5000  4 Ti 2.58
Ti  0.7500  0.2500  0.5000  4 Ti 2.58
Mn  0.0000  0.0000  0.0000  4 Ti 2.58

Fermi-level density of states: 6.11 states/eV/f.u.
energy of formation from the pure elements: 0.077 eV per atom
crystal system: tetragonal
mass density: 5.35 g/cm3
space group: I4/mmm (139)

Compound: Sr3Pd
Source: Alexandria via LeMat-Bulk
Functional: PBE
Structure: optimized geometry

Lattice parameters (Å, degrees): 6.9703 13.1846 13.1846 90.00 90.00 90.00
With the nearest neighbours (Å) after each atom.
Fractional positions:
Sr  0.5504  0.6251  0.0844  2 Pd 3.34-3.35
Sr  0.9496  0.1251  0.5844  2 Pd 3.34-3.35
Sr  0.0504  0.4156  0.1251  2 Pd 3.34-3.35
Sr  0.9565  0.8359  0.7178  3 Pd 3.23-3.48
Sr  0.7620  0.4505  0.6295  3 Pd 3.26-3.59
Sr  0.9496  0.8749  0.4156  2 Pd 3.34-3.35
Sr  0.4565  0.2178  0.6641  3 Pd 3.23-3.48
Sr  0.2380  0.6295  0.5495  3 Pd 3.26-3.59
Sr  0.2620  0.8705  0.9505  3 Pd 3.26-3.59
Sr  0.4496  0.0844  0.3749  2 Pd 3.34-3.35
Sr  0.7620  0.5495  0.3705  3 Pd 3.26-3.59
Sr  0.0504  0.5844  0.8749  2 Pd 3.34-3.35
Sr  0.0435  0.7178  0.1641  3 Pd 3.23-3.48
Sr  0.4496  0.9156  0.6251  2 Pd 3.34-3.35
Sr  0.0435  0.2822  0.8359  3 Pd 3.23-3.48
Sr  0.5435  0.3359  0.2178  3 Pd 3.23-3.48
Sr  0.7380  0.0495  0.8705  3 Pd 3.26-3.59
Sr  0.2620  0.1295  0.0495  3 Pd 3.26-3.59
Sr  0.2380  0.3705  0.4505  3 Pd 3.26-3.59
Sr  0.5435  0.6641  0.7822  3 Pd 3.23-3.48
Sr  0.7380  0.9505  0.1295  3 Pd 3.26-3.59
Sr  0.5504  0.3749  0.9156  2 Pd 3.34-3.35
Sr  0.4565  0.7822  0.3359  3 Pd 3.23-3.48
Sr  0.9565  0.1641  0.2822  3 Pd 3.23-3.48
Pd  0.3026  0.5553  0.2900  8 Sr 3.23-3.59
Pd  0.1974  0.0553  0.7900  8 Sr 3.23-3.59
Pd  0.6974  0.7100  0.5553  8 Sr 3.23-3.59
Pd  0.8026  0.2100  0.0553  8 Sr 3.23-3.59
Pd  0.6974  0.2900  0.4447  8 Sr 3.23-3.59
Pd  0.8026  0.7900  0.9447  8 Sr 3.23-3.59
Pd  0.3026  0.4447  0.7100  8 Sr 3.23-3.59
Pd  0.1974  0.9447  0.2100  8 Sr 3.23-3.59

Fermi-level density of states: 2.19 states/eV/f.u.
energy of formation from the pure elements: -0.317 eV per atom
crystal system: tetragonal
mass density: 4.05 g/cm3
space group: P4_2/n (86)

Compound: Y8Bi3Te4Pb
Source: Alexandria via LeMat-Bulk
Functional: PBE
Structure: optimized geometry

Lattice parameters (Å, degrees): 8.8750 8.8425 8.8749 120.12 120.00 90.00
With the nearest neighbours (Å) after each atom.
Fractional positions:
Te  0.5000  0.0000  0.5000  6 Y 3.14
Te  0.5000  0.0000  0.0000  6 Y 3.19
Te  0.0000  0.0000  0.5000  6 Y 3.14
Te  0.0000  0.0000  0.0000  6 Y 3.14
Y  0.2509  0.2526  0.5018  3 Bi 3.12, 3 Te 3.14
Y  0.7542  0.2557  0.5085  1 Pb 3.08, 2 Bi 3.12, 3 Te 3.14-3.19
Y  0.2458  0.7443  0.4915  1 Pb 3.08, 2 Bi 3.12, 3 Te 3.14-3.19
Y  0.2472  0.2557  0.0014  1 Pb 3.08, 2 Bi 3.12, 3 Te 3.14-3.19
Y  0.7491  0.7474  0.4982  3 Bi 3.12, 3 Te 3.14
Y  0.7542  0.2557  0.0014  1 Pb 3.08, 2 Bi 3.12, 3 Te 3.14-3.19
Y  0.7528  0.7443  0.9986  1 Pb 3.08, 2 Bi 3.12, 3 Te 3.14-3.19
Y  0.2458  0.7443  0.9986  1 Pb 3.08, 2 Bi 3.12, 3 Te 3.14-3.19
Pb  0.0000  0.5000  0.0000  6 Y 3.08
Bi  0.5000  0.5000  0.5000  6 Y 3.12
Bi  0.0000  0.5000  0.5000  6 Y 3.12
Bi  0.5000  0.5000  0.0000  6 Y 3.12

Fermi-level density of states: 6.42 states/eV/f.u.
crystal system: trigonal
mass density: 6.94 g/cm3
raw formation energy: -1093 meV/atom
space group: R-3m (166)